(1)
PBE Hf2Mn2Be, relaxed; formation enthalpy at 0 K = -16 meV per atom; M_tot = 0.000 μB per formula unit; N(E_F) = 6.46 states/eV/cell
1.0
6.1090 0.0000 0.0000
0.0000 6.1090 0.0000
0.0000 0.0000 4.0537
Hf Mn Be
4 4 2
Cartesian
1.1146 4.1691 2.0268
1.9399 1.1146 2.0268
4.9944 1.9399 2.0268
4.1691 4.9944 2.0268
0.7290 2.3255 0.0000
3.7836 0.7290 0.0000
5.3800 3.7836 0.0000
2.3255 5.3800 0.0000
3.0545 3.0545 0.0000
0.0000 0.0000 0.0000

=====

(2)
PBE HfMn3Be, relaxed; formation enthalpy at 0 K = 1729 meV per atom; M_tot = 8.758 μB per formula unit; N(E_F) = 4.67 states/eV/cell; ΔE to the lowest computed polymorph = 1442 meV per atom
1.0
-2.1711 -4.1428 0.1379
1.7465 -0.7731 4.2717
-3.7592 2.0334 1.9050
Mn Hf Be
3 1 1
Cartesian
0.8732 -0.3865 2.1358
-1.0855 -2.0714 0.0689
-1.8796 1.0167 0.9525
0.0000 0.0000 0.0000
-2.0919 -1.4412 3.1572

=====

(3)
PBE Hf2MnBe2, relaxed; formation enthalpy at 0 K = -54 meV per atom; M_tot = 0.000 μB per formula unit; N(E_F) = 13.65 states/eV/cell
1.0
-4.6761 3.7904 -1.9905
-2.8058 -4.9395 -2.8149
-1.8037 -0.6667 2.9677
Hf Be Mn
4 4 2
Cartesian
-2.8977 -0.0354 0.3378
-3.6737 -3.0134 -0.8028
-5.6119 1.1976 -1.0348
-6.3878 -1.7804 -2.1754
-4.2611 -2.9088 -3.2432
-1.6235 -1.4398 -1.3102
-5.8583 0.2907 -3.4952
-3.2207 1.7596 -1.5621
-3.7409 -0.5746 -2.4027
0.0000 0.0000 0.0000

=====

> formation enthalpy at 0 K of number 2 (HfMn3Be)?

1729 meV per atom